Compound: EuCu4Ir
Source: the Alexandria database
Functional: PBE
Structure: optimized geometry

Results
V (Å³/atom): 14.982
E (eV/atom): -5.938
ΔE_f (eV/atom): -0.02
Magnetization (μB per formula unit): 6.58
Mass density (Mg/m³): 11.053

a b c (Å): 5.028 5.028 5.028
angles (deg): 60.00 60.00 60.00
Last column: magnetic moment on the atom in μB.
Positions (direct):
Cu (0.624, 0.129, 0.624)  -0.01
Cu (0.129, 0.624, 0.624)  -0.01
Cu (0.624, 0.624, 0.129)  -0.01
Cu (0.624, 0.624, 0.624)  -0.01
Ir (0.250, 0.250, 0.250)  -0.18
Eu (0.000, 0.000, 0.000)  6.63



Compound: Nd4Tl
Source: the Alexandria database
Functional: PBE
Structure: optimized geometry

Results
V (Å³/atom): 41.900
E (eV/atom): -3.913
ΔE_f (eV/atom): 0.37
Relative energy among the computed polymorphs (meV per atom): 454
Magnetization (μB per formula unit): 0.01
Mass density (Mg/m³): 6.193

a b c (Å): 5.939 5.939 5.939
angles (deg): 90.00 90.00 90.00
Positions (direct):
Nd (0.500, 0.500, 0.000)
Nd (0.500, 0.000, 0.500)
Nd (0.000, 0.000, 0.000)
Nd (0.000, 0.500, 0.500)
Tl (0.500, 0.500, 0.500)



Compound: TaIn2Fe
Source: the Alexandria database
Functional: PBE
Structure: optimized geometry

Results
V (Å³/atom): 18.281
E (eV/atom): -6.145
ΔE_f (eV/atom): 0.30
Relative energy among the computed polymorphs (meV per atom): 201
Magnetization (μB per formula unit): 2.57
Mass density (Mg/m³): 10.592

a b c (Å): 4.162 4.162 4.222
angles (deg): 90.00 90.00 90.00
Last column: magnetic moment on the atom in μB.
Positions (direct):
Ta (0.500, 0.000, 0.500)  -0.05
Fe (0.000, 0.500, 0.500)  2.62
In (0.000, 0.000, 0.000)  -0.01
In (0.500, 0.500, 0.000)  -0.01



Compound: Th3Zn2In3
Source: the Alexandria database
Functional: PBE
Structure: optimized geometry

Results
V (Å³/atom): 25.732
E (eV/atom): -4.419
ΔE_f (eV/atom): -0.29
Magnetization (μB per formula unit): 0.00
Mass density (Mg/m³): 9.449

a b c (Å): 4.598 6.142 15.722
angles (deg): 90.00 90.00 111.98
Positions (direct):
In (0.373, 0.747, 0.962)
In (0.627, 0.253, 0.038)
In (0.627, 0.253, 0.462)
In (0.373, 0.747, 0.538)
In (0.358, 0.716, 0.250)
In (0.642, 0.284, 0.750)
Th (0.076, 0.151, 0.613)
Th (0.357, 0.714, 0.750)
Th (0.643, 0.286, 0.250)
Th (0.924, 0.849, 0.113)
Th (0.924, 0.849, 0.387)
Th (0.076, 0.151, 0.887)
Zn (0.214, 0.427, 0.392)
Zn (0.786, 0.573, 0.608)
Zn (0.786, 0.573, 0.892)
Zn (0.214, 0.427, 0.108)



Compound: TlZn4Ag3Cl12
Source: the Alexandria database
Functional: PBE
Structure: optimized geometry

Results
V (Å³/atom): 29.668
E (eV/atom): -2.765
Magnetization (μB per formula unit): 0.00
Mass density (Mg/m³): 3.400

a b c (Å): 8.840 8.840 8.840
angles (deg): 105.78 105.78 105.78
Positions (direct):
Cl (0.783, 0.054, 0.657)
Cl (0.343, 0.946, 0.217)
Cl (0.657, 0.500, 0.343)
Cl (0.097, 0.903, 0.500)
Cl (0.946, 0.217, 0.343)
Cl (0.343, 0.657, 0.500)
Cl (0.054, 0.657, 0.783)
Cl (0.217, 0.343, 0.946)
Cl (0.500, 0.097, 0.903)
Cl (0.657, 0.783, 0.054)
Cl (0.500, 0.343, 0.657)
Cl (0.903, 0.500, 0.097)
Zn (0.500, 0.500, 0.500)
Zn (0.059, 0.500, 0.941)
Zn (0.941, 0.059, 0.500)
Zn (0.500, 0.941, 0.059)
Ag (0.000, 0.554, 0.446)
Ag (0.554, 0.446, 0.000)
Ag (0.446, 0.000, 0.554)
Tl (0.000, 0.000, 0.000)



Compound: Ho11Zn9Pd4
Source: the Alexandria database
Functional: PBE
Structure: optimized geometry

Results
V (Å³/atom): 21.812
E (eV/atom): -3.971
ΔE_f (eV/atom): -0.53
Magnetization (μB per formula unit): 0.00
Mass density (Mg/m³): 8.972

a b c (Å): 3.600 12.559 12.559
angles (deg): 112.80 90.00 90.00
Positions (direct):
Ho (0.000, 0.587, 0.930)
Ho (0.000, 0.361, 0.639)
Ho (0.000, 0.930, 0.587)
Ho (0.000, 0.170, 0.830)
Ho (0.000, 0.413, 0.070)
Ho (0.000, 0.830, 0.170)
Ho (0.000, 0.275, 0.275)
Ho (0.000, 0.725, 0.725)
Ho (0.000, 0.639, 0.361)
Ho (0.000, 0.070, 0.413)
Ho (0.000, 0.000, 0.000)
Pd (0.500, 0.447, 0.256)
Pd (0.500, 0.256, 0.447)
Pd (0.500, 0.553, 0.744)
Pd (0.500, 0.744, 0.553)
Zn (0.500, 0.500, 0.500)
Zn (0.500, 0.845, 0.369)
Zn (0.500, 0.155, 0.631)
Zn (0.500, 0.790, 0.945)
Zn (0.500, 0.210, 0.055)
Zn (0.500, 0.055, 0.210)
Zn (0.500, 0.631, 0.155)
Zn (0.500, 0.369, 0.845)
Zn (0.500, 0.945, 0.790)



Compound: ZnRe2Au
Source: the Alexandria database
Functional: PBE
Structure: optimized geometry

Results
V (Å³/atom): 15.125
E (eV/atom): -6.729
ΔE_f (eV/atom): 0.63
Magnetization (μB per formula unit): 0.00
Mass density (Mg/m³): 17.423

a b c (Å): 2.981 2.981 6.810
angles (deg): 90.00 90.00 90.00
Positions (direct):
Au (0.500, 0.500, 0.750)
Zn (0.500, 0.500, 0.250)
Re (0.000, 0.000, 0.029)
Re (0.000, 0.000, 0.471)



Compound: CoOs2Cl
Source: the Alexandria database
Functional: PBE
Structure: optimized geometry

Results
V (Å³/atom): 14.468
E (eV/atom): -6.945
Relative energy among the computed polymorphs (meV per atom): 437
Magnetization (μB per formula unit): 2.38
Mass density (Mg/m³): 13.625

a b c (Å): 2.776 2.776 8.786
angles (deg): 90.00 90.00 121.29
Last column: magnetic moment on the atom in μB.
Positions (direct):
Co (0.500, 0.500, 0.750)  1.63
Os (0.000, 0.000, 0.511)  0.37
Os (0.000, 0.000, 0.989)  0.37
Cl (0.500, 0.500, 0.250)  -0.03